Density functional theory data (GGA+U) for an optimized crystal structure of CrCoN2O.

Values from the calculation:
Calculated total energy in eV/cell: -30.7
Crystal system: tetragonal
Symmetry: No. 123
Calculated volume in Å³ per atom: 10.31
ρ in g/cm³: 4.99

abc: 3.5948 3.5948 3.9883
angles: 90.00 90.00 90.00
Atoms (fractional coordinates):
1 Cr 0.0000 0.0000 0.0000
2 Co 0.5000 0.5000 0.5000
3 N 0.0000 0.5000 0.5000
4 N 0.5000 0.0000 0.5000
5 O 0.5000 0.5000 0.0000